Entry 1:
La5CeSi4, relaxed, DFT PBE-GGA; space-group type = C2/m; E_form (uncorrected) = -498 meV/atom
1.0
7.907 -2.593 0.000
7.907 2.593 0.000
-0.175 0.000 7.069
La Ce Si
5 1 4
Cartesian
0.000 0.000 0.000
5.180 0.000 3.467
5.345 0.000 0.053
10.295 0.000 7.017
10.460 0.000 3.603
-0.088 0.000 3.535
2.642 0.000 5.306
7.650 0.000 5.230
7.990 0.000 1.839
12.998 0.000 1.764

Entry 2:
DyY6Er2Sc3, relaxed, DFT PBE-GGA; space-group type = C2/m; DFT formation energy = 0.05 eV/atom
1.0
3.027 -5.238 0.000
3.027 5.238 0.000
-2.014 0.000 11.313
Dy Y Er Sc
1 6 2 3
Cartesian
0.000 0.000 0.000
1.010 1.747 2.922
0.004 0.000 8.391
1.010 -1.747 2.922
3.030 1.747 8.392
4.036 0.000 2.923
3.030 -1.747 8.392
3.027 1.746 0.000
3.027 -1.746 0.000
2.020 3.491 5.657
2.020 0.000 5.657
2.020 -3.491 5.657

Entry 3:
NiBiRh3, relaxed, DFT PBE-GGA; space-group type = Pm-3m; relative energy among the computed polymorphs = 0 kJ/mol of formula units; DFT formation energy = 0.77 eV/atom
1.0
4.534 0.000 0.000
0.000 4.534 0.000
0.000 0.000 4.534
Ni Bi Rh
1 1 3
Cartesian
0.000 0.000 0.000
2.267 2.267 2.267
0.000 0.000 2.267
0.000 2.267 0.000
2.267 0.000 0.000

Entry 4:
LaMn3, relaxed, DFT PBE-GGA; space-group type = Cmcm; DFT formation energy = 0.42 eV/atom
1.0
3.204 -5.089 0.000
3.204 5.089 0.000
0.000 0.000 4.659
La Mn
2 6
Cartesian
3.204 3.540 3.494
3.204 -3.540 1.165
1.918 0.797 3.494
3.204 1.534 1.165
1.918 -0.797 1.165
4.490 0.797 3.494
3.204 -1.534 3.494
4.490 -0.797 1.165

Entry 5:
RbSbTe2N, relaxed, DFT PBE-GGA; space-group type = P4/mmm; relative energy among the computed polymorphs = 0 kJ/mol of formula units; E_form (uncorrected) = 341 meV/atom
1.0
6.330 0.000 0.000
0.000 6.330 0.000
0.000 0.000 3.929
Rb Sb Te N
1 1 2 1
Cartesian
0.000 0.000 0.000
3.165 3.165 1.965
0.000 3.165 1.965
3.165 0.000 1.965
3.165 3.165 0.000

Entry 6:
RbTcO2, relaxed, DFT PBE-GGA; space-group type = R-3m; relative energy among the computed polymorphs = 130 kJ/mol of formula units; E_form (uncorrected) = -673 meV/atom
1.0
1.497 0.864 7.460
-1.497 0.864 7.460
0.000 -1.728 7.460
Rb Tc O
1 1 2
Cartesian
0.000 0.000 0.000
0.000 0.000 11.190
0.000 0.000 2.491
0.000 0.000 19.889

Entry 7:
Co2Ag2P, relaxed, DFT PBE-GGA; space-group type = I4/mmm; relative energy among the computed polymorphs = 362 kJ/mol of formula units; DFT formation energy = 0.77 eV/atom
1.0
-1.805 1.805 6.289
1.805 -1.805 6.289
1.805 1.805 -6.289
Co Ag P
2 2 1
Cartesian
0.000 0.000 1.065
0.000 0.000 11.513
1.805 0.000 3.144
0.000 1.805 3.144
0.000 0.000 6.289

Entry 8:
CaAc5Sn3, relaxed, DFT PBE-GGA; space-group type = P6_3/mcm; DFT formation energy = -0.48 eV/atom
1.0
10.211 0.000 0.000
-5.105 8.843 0.000
0.000 0.000 7.213
Ca Ac Sn
2 10 6
Cartesian
0.000 0.000 0.000
0.000 0.000 3.607
-1.664 2.882 1.803
-3.441 5.961 5.410
3.328 0.000 1.803
1.664 2.882 5.410
0.000 5.895 0.000
0.000 5.895 3.607
5.105 2.948 0.000
5.105 2.948 3.607
6.883 0.000 5.410
3.441 5.961 1.803
-1.728 2.993 5.410
-3.377 5.850 1.803
3.456 0.000 5.410
1.728 2.993 1.803
6.755 0.000 1.803
3.377 5.850 5.410

Entry 9:
AlSeCl2, relaxed, DFT PBE-GGA; space-group type = P4mm; relative energy among the computed polymorphs = 162 kJ/mol of formula units; E_form (uncorrected) = -489 meV/atom
1.0
3.850 0.000 0.000
0.000 3.850 0.000
0.000 0.000 7.783
Al Se Cl
1 1 2
Cartesian
0.000 0.000 0.000
1.925 1.925 0.334
0.000 0.000 5.640
1.925 1.925 2.540

Entry 10:
BaReNi, relaxed, DFT PBE-GGA; space-group type = P3m1; relative energy among the computed polymorphs = 152 kJ/mol of formula units; DFT formation energy = 1.21 eV/atom
1.0
3.084 0.000 0.000
-1.542 2.671 0.000
0.000 0.000 7.523
Ba Re Ni
1 1 1
Cartesian
0.000 0.000 0.000
1.542 0.890 4.552
0.000 1.780 2.857

Entry 11:
La2Pm3N4, relaxed, DFT PBE-GGA; space-group type = C2/m; E_form (uncorrected) = -1252 meV/atom
1.0
6.073 -1.819 0.000
6.073 1.819 0.000
-4.418 0.000 7.950
La Pm N
2 3 4
Cartesian
-0.429 0.000 3.048
8.156 0.000 4.902
2.728 0.000 1.445
6.073 0.000 0.000
4.999 0.000 6.505
-2.715 0.000 7.212
0.601 0.000 5.580
7.126 0.000 2.370
10.442 0.000 0.738

Entry 12:
YCd2In, relaxed, DFT PBE-GGA; space-group type = C2/m; DFT formation energy = -0.15 eV/atom
1.0
3.170 -5.534 0.000
3.170 5.534 0.000
-1.485 0.000 2.890
Y Cd In
1 2 1
Cartesian
0.000 0.000 0.000
0.843 2.767 1.445
0.843 -2.767 1.445
3.170 0.000 0.000

Entry 13:
RbBiBPt2, relaxed, DFT PBE-GGA; space-group type = P4/mmm; DFT formation energy = 2.72 eV/atom
1.0
5.067 0.000 0.000
0.000 5.067 0.000
0.000 0.000 6.445
Rb Bi B Pt
1 1 1 2
Cartesian
0.000 0.000 0.000
0.000 0.000 3.223
2.533 2.533 3.223
0.000 2.533 0.000
2.533 0.000 0.000

Entry 14:
TlAsRhBr2, relaxed, DFT PBE-GGA; space-group type = P4/mmm; relative energy among the computed polymorphs = 0 kJ/mol of formula units; E_form (uncorrected) = -153 meV/atom
1.0
5.469 0.000 0.000
0.000 5.469 0.000
0.000 0.000 4.630
Tl As Rh Br
1 1 1 2
Cartesian
0.000 0.000 0.000
2.735 2.735 0.000
2.735 2.735 2.315
0.000 2.735 2.315
2.735 0.000 2.315

Entry 15:
HfTiSi, relaxed, DFT PBE-GGA; space-group type = Ima2; E_form (uncorrected) = -681 meV/atom
1.0
-2.530 3.201 3.184
2.530 -3.201 3.184
2.530 3.201 -3.184
Hf Ti Si
2 2 2
Cartesian
1.265 0.975 0.000
1.265 2.226 3.184
1.265 -1.019 1.976
1.265 4.220 -1.208
0.000 3.201 0.937
0.000 0.000 4.121

Entry 16:
La3ZnCo, relaxed, DFT PBE-GGA; space-group type = P-1; relative energy among the computed polymorphs = 0 kJ/mol of formula units; DFT formation energy = -0.17 eV/atom
1.0
5.367 0.000 0.000
-2.674 5.800 0.000
-2.681 -2.269 8.659
La Zn Co
6 2 2
Cartesian
-1.337 0.112 3.034
-1.332 4.620 0.641
-1.335 1.071 6.355
1.347 2.460 2.303
1.343 -1.089 8.018
1.348 3.420 5.625
-1.336 3.473 3.843
1.347 0.059 4.816
-1.342 -0.717 8.176
1.354 4.248 0.482

Entry 17:
InH2F2, relaxed, DFT PBE-GGA; space-group type = P4/mbm; relative energy among the computed polymorphs = 135 kJ/mol of formula units
1.0
5.816 0.000 0.000
0.000 5.816 0.000
0.000 0.000 3.019
In H F
2 4 4
Cartesian
0.000 0.000 0.000
2.908 2.908 0.000
0.261 2.647 0.000
2.647 5.555 0.000
3.169 0.261 0.000
5.555 3.169 0.000
1.444 1.464 1.510
1.464 4.372 1.510
4.352 1.444 1.510
4.372 4.352 1.510

Entry 18:
Dy3Y3Ho5, relaxed, DFT PBE-GGA; space-group type = P-62m; DFT formation energy = 0.82 eV/atom
1.0
9.622 0.000 0.000
-4.811 8.333 0.000
0.000 0.000 5.503
Dy Y Ho
3 3 5
Cartesian
-2.187 3.787 0.000
4.373 0.000 0.000
2.624 4.545 0.000
-1.258 2.179 2.752
2.516 0.000 2.752
3.553 6.154 2.752
-3.004 5.203 2.752
0.000 5.555 2.752
1.807 3.129 2.752
6.008 0.000 2.752
4.811 2.778 2.752

Entry 19:
Sm3BeBr3, relaxed, DFT PBE-GGA; space-group type = I4_132; E_form (uncorrected) = -1078 meV/atom
1.0
-5.861 5.861 5.861
5.861 -5.861 5.861
5.861 5.861 -5.861
Sm Be Br
12 4 12
Cartesian
1.608 1.465 -1.322
7.184 1.608 -1.465
1.465 -1.322 1.608
4.539 4.253 -1.465
4.253 1.465 1.322
-1.322 1.608 1.465
4.253 -1.465 4.539
1.465 1.322 4.253
1.322 4.253 1.465
1.608 -1.465 7.184
-1.465 7.184 1.608
-1.465 4.539 4.253
4.396 1.465 -1.465
1.465 1.465 1.465
1.465 -1.465 4.396
-1.465 4.396 1.465
7.327 1.374 1.557
7.327 -1.374 4.304
4.304 7.327 -1.374
4.488 1.557 4.396
4.396 4.488 1.557
1.557 7.327 1.374
7.235 4.304 4.396
1.557 4.396 4.488
1.374 1.557 7.327
4.396 7.235 4.304
-1.374 4.304 7.327
4.304 4.396 7.235

Entry 20:
Pu2BeSi2Rh5, relaxed, DFT PBE-GGA; space-group type = P4/mbm; E_form (uncorrected) = -612 meV/atom
1.0
10.297 0.000 0.000
0.000 10.297 0.000
0.000 0.000 2.922
Pu Be Si Rh
4 2 4 10
Cartesian
1.813 3.335 0.000
3.335 8.484 0.000
6.962 1.813 0.000
8.484 6.962 0.000
0.000 0.000 0.000
5.149 5.149 0.000
1.377 6.526 0.000
3.771 1.377 0.000
6.526 8.920 0.000
8.920 3.771 0.000
0.000 5.149 1.461
0.546 8.323 1.461
1.974 0.546 1.461
3.174 5.695 1.461
4.602 3.174 1.461
5.149 0.000 1.461
5.695 7.123 1.461
7.123 4.602 1.461
8.323 9.751 1.461
9.751 1.974 1.461